# V4Si2Te PBE relaxed
# ΔE_f (raw) = 0.94 eV/atom
data_V4Si2Te
_chemical_formula_sum 'V8 Si4 Te2'
_space_group_name_H-M_alt 'I 4/m m m'
_space_group_IT_number 139
_space_group_name_Hall '-I 4 2'
_cell_length_a 4.817
_cell_length_b 4.817
_cell_length_c 12.556
_cell_angle_alpha 90.00
_cell_angle_beta 90.00
_cell_angle_gamma 90.00
loop_
_atom_site_label
_atom_site_type_symbol
_atom_site_fract_x
_atom_site_fract_y
_atom_site_fract_z
V1 V 0.000 0.000 0.209
V2 V 0.000 0.500 0.000
Si1 Si 0.000 0.000 0.401
Te1 Te 0.000 0.000 0.000